No. 1
Entry from Alexandria: a relaxed NiHgP2 crystal (GGA-PBE).

```
NiHgP2
1.0
3.717 -0.043 0.214
2.200 2.997 0.214
2.166 1.081 6.870
Ni P Hg
1 2 1
Cartesian
2.021 1.009 1.824
6.153 3.072 1.237
3.805 1.900 2.839
6.062 3.026 5.473
```

## Properties
Spin magnetization (μB per formula unit): 0.0
Energy relative to the elements (kcal/mol of atoms): -0.81
Crystal system: monoclinic
Fermi-level density of states (states/eV/cell): 0.9


No. 2
Entry from Alexandria: a relaxed TcPt2Rh2 crystal (GGA-PBE).

```
TcPt2Rh2
1.0
-0.417 -0.385 2.660
-2.726 -2.845 -0.839
6.312 -3.343 0.505
Pt Rh Tc
2 2 1
Cartesian
3.749 -4.001 1.398
-0.580 -2.572 0.927
1.675 -4.346 -0.367
1.911 -1.841 0.033
0.000 0.000 0.000
```

## Properties
Spin magnetization (μB per formula unit): 0.0
Offset from the most stable computed form (eV per atom): 0.154
Energy relative to the elements (kcal/mol of atoms): 1.06
Crystal system: orthorhombic
Fermi-level density of states (states/eV/cell): 7.3